(1)
First-principles (PBE-GGA) data for Ac8In2Co after structural relaxation, as listed in the Alexandria database.

Calculated values
Space-group type: C2/m (12)
E_form in eV per atom: -0.12
E above lowest polymorph in meV per atom: 0
Magnetic moment in μB/atom: 0.000
V in Å³/atom: 38.17
VASP energy in eV/cell: -46.7
D(E_F) in states/eV/cell: 13.90

abc: 5.2353 7.8760 10.5310
angles: 93.35 104.39 90.00
Fractional coordinates of all 11 atoms:
Ac 0.0022 0.7746 0.0044
Ac 0.3677 0.9901 0.7355
Ac 0.2169 0.3088 0.4337
Ac 0.4034 0.4941 0.8067
Ac 0.6323 0.0099 0.2645
Ac 0.7831 0.6912 0.5663
Ac 0.5966 0.5059 0.1933
Ac 0.9978 0.2254 0.9956
In 0.1808 0.7569 0.3616
In 0.8192 0.2431 0.6384
Co 0.5000 0.0000 0.0000


(2)
First-principles (PBE-GGA) data for Cr2BH after structural relaxation, as listed in the Alexandria database.

Calculated values
Space-group type: I-42d (122)
E above lowest polymorph in meV per atom: 0
Magnetic moment in μB/atom: 0.000
V in Å³/atom: 8.01
VASP energy in eV/cell: -57.7
D(E_F) in states/eV/cell: 5.69

abc: 5.0651 5.0651 4.3667
angles: 54.55 54.55 90.00
Fractional coordinates of all 8 atoms:
Cr 0.1759 0.6250 0.2500
Cr 0.3750 0.4259 0.7500
Cr 0.5741 0.1250 0.2500
Cr 0.8750 0.8241 0.7500
B 0.7500 0.2500 0.5000
B 0.0000 0.0000 0.0000
H 0.5000 0.5000 0.0000
H 0.2500 0.7500 0.5000


(3)
First-principles (PBE-GGA) data for PrPuCdAg after structural relaxation, as listed in the Alexandria database.

Calculated values
Space-group type: F-43m (216)
E_form in eV per atom: -0.05
Magnetic moment in μB/atom: 1.591
V in Å³/atom: 27.28
VASP energy in eV/cell: -23.1
D(E_F) in states/eV/cell: 12.71

abc: 5.3640 5.3640 5.3640
angles: 60.00 60.00 60.00
Last column: magnetic moment on the atom in μB.
Fractional coordinates of all 4 atoms:
Cd 0.7500 0.7500 0.7500  0.03
Pr 0.5000 0.5000 0.5000  0.18
Ag 0.2500 0.2500 0.2500  0.04
Pu 0.0000 0.0000 0.0000  5.53


(4)
First-principles (PBE-GGA) data for Ce2Ni2Ag after structural relaxation, as listed in the Alexandria database.

Calculated values
Space-group type: P4/mbm (127)
E_form in eV per atom: -0.32
Magnetic moment in μB/atom: 0.000
V in Å³/atom: 19.94
VASP energy in eV/cell: -55.7
D(E_F) in states/eV/cell: 15.38

abc: 3.6130 7.4284 7.4284
angles: 90.00 90.00 90.00
Fractional coordinates of all 10 atoms:
Ni 0.0000 0.3753 0.8753
Ni 0.0000 0.1247 0.3753
Ni 0.0000 0.8753 0.6247
Ni 0.0000 0.6247 0.1247
Ce 0.5000 0.6727 0.8273
Ce 0.5000 0.1727 0.6727
Ce 0.5000 0.8273 0.3273
Ce 0.5000 0.3273 0.1727
Ag 0.0000 0.0000 0.0000
Ag 0.0000 0.5000 0.5000


(5)
First-principles (PBE-GGA) data for Bi4Pd6O19 after structural relaxation, as listed in the Alexandria database.

Calculated values
Space-group type: I23 (197)
Formation energy without anion corrections in eV/atom: -0.598
Magnetic moment in μB/atom: 0.000
V in Å³/atom: 12.51
VASP energy in eV/cell: -158.2
D(E_F) in states/eV/cell: 14.88

abc: 7.7819 7.7819 7.7819
angles: 109.47 109.47 109.47
Fractional coordinates of all 29 atoms:
O 0.6657 0.6657 0.0000
O 0.7124 0.3165 0.9620
O 0.6835 0.3959 0.6456
O 0.3165 0.9620 0.7124
O 0.7503 0.0380 0.3544
O 0.6657 0.0000 0.6657
O 0.9620 0.7124 0.3165
O 0.3343 0.0000 0.3343
O 0.0000 0.6657 0.6657
O 0.3959 0.6456 0.6835
O 0.2876 0.2497 0.6041
O 0.0380 0.3544 0.7503
O 0.0000 0.3343 0.3343
O 0.3343 0.3343 0.0000
O 0.6041 0.2876 0.2497
O 0.3544 0.7503 0.0380
O 0.0000 0.0000 0.0000
O 0.2497 0.6041 0.2876
O 0.6456 0.6835 0.3959
Pd 0.6590 0.5000 0.1590
Pd 0.5000 0.1590 0.6590
Pd 0.8410 0.3410 0.5000
Pd 0.1590 0.6590 0.5000
Pd 0.5000 0.8410 0.3410
Pd 0.3410 0.5000 0.8410
Bi 0.3176 0.3176 0.3176
Bi 0.0000 0.6824 0.0000
Bi 0.6824 0.0000 0.0000
Bi 0.0000 0.0000 0.6824


(6)
First-principles (PBE-GGA) data for SrYPb3 after structural relaxation, as listed in the Alexandria database.

Calculated values
Space-group type: Pm-3m (221)
E_form in eV per atom: -0.04
E above lowest polymorph in meV per atom: 0
Magnetic moment in μB/atom: 0.000
V in Å³/atom: 40.27
VASP energy in eV/cell: -19.5
D(E_F) in states/eV/cell: 4.16

abc: 5.8610 5.8610 5.8610
angles: 90.00 90.00 90.00
Fractional coordinates of all 5 atoms:
Pb 0.5000 0.0000 0.0000
Pb 0.0000 0.0000 0.5000
Pb 0.0000 0.5000 0.0000
Y 0.0000 0.0000 0.0000
Sr 0.5000 0.5000 0.5000


(7)
First-principles (PBE-GGA) data for ScCu3P after structural relaxation, as listed in the Alexandria database.

Calculated values
Space-group type: Pm-3m (221)
E_form in eV per atom: 1.41
E above lowest polymorph in meV per atom: 1336
Magnetic moment in μB/atom: 0.000
V in Å³/atom: 20.81
VASP energy in eV/cell: -17.0
D(E_F) in states/eV/cell: 3.59

abc: 4.7034 4.7034 4.7034
angles: 90.00 90.00 90.00
Fractional coordinates of all 5 atoms:
Cu 0.5000 0.0000 0.0000
Cu 0.0000 0.0000 0.5000
Cu 0.0000 0.5000 0.0000
Sc 0.0000 0.0000 0.0000
P 0.5000 0.5000 0.5000


(8)
First-principles (PBE-GGA) data for Ac7La3Nd after structural relaxation, as listed in the Alexandria database.

Calculated values
Space-group type: C2/m (12)
E_form in eV per atom: 0.23
E above lowest polymorph in meV per atom: 128
Magnetic moment in μB/atom: 0.014
V in Å³/atom: 43.59
VASP energy in eV/cell: -45.8
D(E_F) in states/eV/cell: 19.34

abc: 6.4859 9.1891 9.1891
angles: 85.26 110.58 110.58
Fractional coordinates of all 11 atoms:
Ac 0.2062 0.2064 0.2064
Ac 0.3091 0.0161 0.6025
Ac 0.0000 0.5000 0.5000
Ac 0.7938 0.7936 0.7936
Ac 0.6909 0.9839 0.3975
Ac 0.3091 0.6025 0.0161
Ac 0.6909 0.3975 0.9839
La 0.5000 0.0000 0.0000
La 0.0000 0.7908 0.2092
La 0.0000 0.2092 0.7908
Nd 0.5000 0.5000 0.5000


(9)
First-principles (PBE-GGA) data for Bi5Pb3O12 after structural relaxation, as listed in the Alexandria database.

Calculated values
Space-group type: Ia-3d (230)
Formation energy without anion corrections in eV/atom: -0.993
Magnetic moment in μB/atom: 0.000
V in Å³/atom: 18.38
VASP energy in eV/cell: -439.5
D(E_F) in states/eV/cell: 22.25

abc: 12.4085 12.4085 12.4085
angles: 109.47 109.47 109.47
Fractional coordinates of all 80 atoms:
Bi 0.3750 0.1250 0.7500
Bi 0.2500 0.8750 0.1250
Bi 0.6250 0.7500 0.8750
Bi 0.0000 0.0000 0.0000
Bi 0.8750 0.2500 0.6250
Bi 0.0000 0.5000 0.0000
Bi 0.5000 0.0000 0.0000
Bi 0.8750 0.6250 0.7500
Bi 0.0000 0.5000 0.5000
Bi 0.3750 0.2500 0.1250
Bi 0.7500 0.1250 0.8750
Bi 0.7500 0.6250 0.3750
Bi 0.1250 0.7500 0.3750
Bi 0.5000 0.5000 0.0000
Bi 0.1250 0.3750 0.2500
Bi 0.6250 0.8750 0.2500
Bi 0.2500 0.3750 0.6250
Bi 0.5000 0.0000 0.5000
Bi 0.5000 0.5000 0.5000
Bi 0.0000 0.0000 0.5000
O 0.4718 0.7975 0.8799
O 0.9718 0.3799 0.2975
O 0.5920 0.6201 0.4176
O 0.6201 0.0282 0.2025
O 0.4176 0.2975 0.3257
O 0.1743 0.0920 0.9718
O 0.9080 0.0824 0.8799
O 0.2025 0.5282 0.6201
O 0.3257 0.5282 0.4080
O 0.5824 0.7025 0.6743
O 0.9176 0.8257 0.7975
O 0.1201 0.7025 0.5282
O 0.1201 0.4176 0.0920
O 0.9718 0.5920 0.1743
O 0.8799 0.2975 0.4718
O 0.0824 0.9080 0.3799
O 0.3799 0.4080 0.0824
O 0.5282 0.3257 0.9080
O 0.0824 0.1743 0.2025
O 0.7025 0.1201 0.0282
O 0.6743 0.2025 0.5824
O 0.0282 0.6201 0.7025
O 0.8799 0.5824 0.9080
O 0.6743 0.4718 0.5920
O 0.3257 0.7975 0.4176
O 0.7975 0.3257 0.9176
O 0.5920 0.9718 0.6743
O 0.6201 0.5920 0.9176
O 0.9176 0.0920 0.6201
O 0.4176 0.1201 0.5920
O 0.0282 0.4080 0.8257
O 0.4080 0.0282 0.3257
O 0.2975 0.4176 0.8257
O 0.2975 0.8799 0.9718
O 0.3799 0.9718 0.7975
O 0.5824 0.8799 0.4080
O 0.2025 0.6743 0.0824
O 0.4718 0.6743 0.0920
O 0.7975 0.4718 0.3799
O 0.5282 0.2025 0.1201
O 0.4080 0.3799 0.5824
O 0.1743 0.0824 0.7025
O 0.0920 0.9176 0.1201
O 0.9080 0.8257 0.5282
O 0.7025 0.5824 0.1743
O 0.8257 0.9176 0.2975
O 0.8257 0.9080 0.0282
O 0.0920 0.1743 0.4718
Pb 0.6250 0.3750 0.7500
Pb 0.8750 0.1250 0.2500
Pb 0.1250 0.8750 0.7500
Pb 0.1250 0.2500 0.8750
Pb 0.2500 0.6250 0.8750
Pb 0.7500 0.3750 0.1250
Pb 0.3750 0.7500 0.6250
Pb 0.7500 0.8750 0.6250
Pb 0.6250 0.2500 0.3750
Pb 0.3750 0.6250 0.2500
Pb 0.8750 0.7500 0.1250
Pb 0.2500 0.1250 0.3750


(10)
First-principles (PBE-GGA) data for KTlSbPb after structural relaxation, as listed in the Alexandria database.

Calculated values
Space-group type: F-43m (216)
E above lowest polymorph in meV per atom: 0
Formation energy without anion corrections in eV/atom: -0.080
Magnetic moment in μB/atom: 0.000
V in Å³/atom: 32.58
VASP energy in eV/cell: -11.6
D(E_F) in states/eV/cell: 3.83

abc: 5.6908 5.6908 5.6908
angles: 60.00 60.00 60.00
Fractional coordinates of all 4 atoms:
Pb 0.7500 0.7500 0.7500
Sb 0.5000 0.5000 0.5000
K 0.2500 0.2500 0.2500
Tl 0.0000 0.0000 0.0000


(11)
First-principles (PBE-GGA) data for GaS6Cl2 after structural relaxation, as listed in the Alexandria database.

Calculated values
Space-group type: P-1 (2)
Formation energy without anion corrections in eV/atom: -0.167
Magnetic moment in μB/atom: 0.000
V in Å³/atom: 26.90
VASP energy in eV/cell: -33.0
D(E_F) in states/eV/cell: 1.44

abc: 3.7864 9.2773 8.3756
angles: 124.41 85.82 91.72
Fractional coordinates of all 9 atoms:
Cl 0.5034 0.1070 0.8916
Cl 0.4966 0.8930 0.1084
S 0.9523 0.7207 0.7028
S 0.0717 0.4239 0.7395
S 0.0477 0.2793 0.2972
S 0.9283 0.5761 0.2605
S 0.1831 0.7384 0.4858
S 0.8169 0.2616 0.5142
Ga 0.0000 0.0000 0.0000


(12)
First-principles (PBE-GGA) data for In2AgPb2 after structural relaxation, as listed in the Alexandria database.

Calculated values
Space-group type: I4/mmm (139)
E_form in eV per atom: 0.30
E above lowest polymorph in meV per atom: 271
Magnetic moment in μB/atom: 0.000
V in Å³/atom: 30.74
VASP energy in eV/cell: -14.3
D(E_F) in states/eV/cell: 2.64

abc: 4.4426 4.4426 8.3967
angles: 74.66 74.66 90.00
Fractional coordinates of all 5 atoms:
Pb 0.7500 0.2500 0.5000
Pb 0.2500 0.7500 0.5000
Ag 0.0000 0.0000 0.0000
In 0.5923 0.5923 0.8153
In 0.4077 0.4077 0.1847